Computed, not measured: a geometry-optimized BaCa2PrS4 structure at the PBE level of DFT. Values from VASP.

Cell and atoms, written as Quantum ESPRESSO input:
```
&SYSTEM
  ibrav = 0, nat = 8, ntyp = 4
/
ATOMIC_SPECIES
Ba 137.33 Ba.upf
Ca 40.08 Ca.upf
Pr 140.91 Pr.upf
S 32.06 S.upf
CELL_PARAMETERS angstrom
7.227 0.000 0.000
0.000 4.162 0.000
-2.402 0.000 6.880
ATOMIC_POSITIONS angstrom
Ba 0.000 0.000 0.000
Ca 2.412 0.000 3.440
Ca 3.613 2.081 0.000
Pr -1.201 2.081 3.440
S 0.110 0.000 5.101
S 1.300 2.081 1.869
S 3.524 2.081 5.011
S 4.715 0.000 1.779
```

Computed properties:
raw formation energy	-46.7	kcal/mol of atoms
density of states at the Fermi level	2.851	states/eV/f.u.